This record from Alexandria via LeMat-Bulk describes NaLi2Zn9 after structural relaxation. The functional is PBE.

## Properties
Crystal system: trigonal
Formation enthalpy at 0 K: -0.1029 eV per atom

Unit cell a=9.0652 b=9.0652 c=9.0652 alpha=33.33 beta=33.33 gamma=33.33
With the nearest neighbours (Å) after each atom.
Fractional positions:
Na1 0.0000 0.0000 0.0000  6 Zn 3.00
Li1 0.1474 0.1474 0.1474  12 Zn 2.95-3.04, 3 Li 3.16
Li2 0.8526 0.8526 0.8526  12 Zn 2.95-3.04, 3 Li 3.16
Zn1 0.0817 0.5888 0.5888  7 Zn 2.56-2.68
Zn2 0.3336 0.3336 0.3336  6 Zn 2.67-2.68
Zn3 0.4112 0.4112 0.9183  7 Zn 2.56-2.68
Zn4 0.4112 0.9183 0.4112  7 Zn 2.56-2.68
Zn5 0.5000 0.5000 0.5000  6 Zn 2.56
Zn6 0.5888 0.0817 0.5888  7 Zn 2.56-2.68
Zn7 0.5888 0.5888 0.0817  7 Zn 2.56-2.68
Zn8 0.6664 0.6664 0.6664  6 Zn 2.67-2.68
Zn9 0.9183 0.4112 0.4112  7 Zn 2.56-2.68

---

This record from Alexandria via LeMat-Bulk describes RbTePtW after structural relaxation. The functional is PBE.

## Properties
Raw formation energy: 0.104 eV per atom
Crystal system: trigonal
Distance to the lowest polymorph of the same formula: 0.35 kcal/mol of atoms

Unit cell a=4.0111 b=4.0111 c=8.3021 alpha=90.00 beta=90.00 gamma=120.00
With the nearest neighbours (Å) after each atom.
Fractional positions:
Rb1 0.0000 0.0000 0.0000  3 Pt 3.63, 3 Te 3.67, 1 W 3.78, 6 Rb 4.01
Te1 0.6667 0.3333 0.6577  3 W 2.86
Pt1 0.3333 0.6667 0.3365  3 W 2.52
W1 0.0000 0.0000 0.4548  3 Pt 2.52

---

This record from Alexandria via LeMat-Bulk describes HfAg2Pd after structural relaxation. The functional is PBE.

## Properties
Crystal system: tetragonal
Formation enthalpy at 0 K: 0.2230 eV per atom

Unit cell a=6.0259 b=6.0259 c=6.0259 alpha=101.55 beta=101.55 gamma=126.83
With the nearest neighbours (Å) after each atom.
Fractional positions:
Hf1 0.0000 0.0000 0.0000  2 Pd 2.70, 4 Ag 2.85
Hf2 0.7500 0.2500 0.5000  2 Pd 2.70, 4 Ag 2.85
Ag1 0.1381 0.6250 0.0131  2 Ag 2.70, 2 Pd 2.71, 2 Hf 2.85
Ag2 0.3750 0.3881 0.5131  2 Ag 2.70, 2 Pd 2.71, 2 Hf 2.85
Ag3 0.6119 0.1250 0.9869  2 Ag 2.70, 2 Pd 2.71, 2 Hf 2.85
Ag4 0.8750 0.8619 0.4869  2 Ag 2.70, 2 Pd 2.71, 2 Hf 2.85
Pd1 0.2500 0.7500 0.5000  2 Hf 2.70, 4 Ag 2.71
Pd2 0.5000 0.5000 0.0000  2 Hf 2.70, 4 Ag 2.71

---

This record from Alexandria via LeMat-Bulk describes Hf4NbSn3 after structural relaxation. The functional is PBE.

## Properties
Crystal system: tetragonal
Formation enthalpy at 0 K: -0.3521 eV per atom

Unit cell a=8.3158 b=8.3158 c=8.3158 alpha=96.46 beta=96.46 gamma=140.81
With the nearest neighbours (Å) after each atom.
Fractional positions:
Hf1 0.0765 0.7743 0.8508  6 Sn 2.93-3.20, 3 Hf 3.10-3.26
Hf2 0.2257 0.0765 0.3022  6 Sn 2.93-3.20, 3 Hf 3.10-3.26
Hf3 0.2743 0.5765 0.8508  6 Sn 2.93-3.20, 3 Hf 3.10-3.26
Hf4 0.4235 0.2743 0.6978  6 Sn 2.93-3.20, 3 Hf 3.10-3.26
Hf5 0.5765 0.7257 0.3022  6 Sn 2.93-3.20, 3 Hf 3.10-3.26
Hf6 0.7257 0.4235 0.1492  6 Sn 2.93-3.20, 3 Hf 3.10-3.26
Hf7 0.7743 0.9235 0.6978  6 Sn 2.93-3.20, 3 Hf 3.10-3.26
Hf8 0.9235 0.2257 0.1492  6 Sn 2.93-3.20, 3 Hf 3.10-3.26
Nb1 0.2500 0.7500 0.5000  2 Nb 2.79, 4 Sn 2.91
Nb2 0.7500 0.2500 0.5000  2 Nb 2.79, 4 Sn 2.91
Sn1 0.1631 0.3369 0.5000  2 Nb 2.91, 8 Hf 2.93-3.20
Sn2 0.2500 0.2500 0.0000  2 Sn 2.79, 8 Hf 2.99
Sn3 0.3369 0.8369 0.1737  2 Nb 2.91, 8 Hf 2.93-3.20
Sn4 0.6631 0.1631 0.8263  2 Nb 2.91, 8 Hf 2.93-3.20
Sn5 0.7500 0.7500 0.0000  2 Sn 2.79, 8 Hf 2.99
Sn6 0.8369 0.6631 0.5000  2 Nb 2.91, 8 Hf 2.93-3.20